Li3PmCd3 PBE relaxed; SG = Pm-3n, No. 223; size of the total moment = 0.00 μB/f.u.; total energy = -24.18 eV per cell; DOS at the Fermi energy = 5.22 states/eV/f.u.
1.0
6.9816 0.0000 0.0000
0.0000 6.9816 0.0000
0.0000 0.0000 6.9816
Li Pm Cd
6 2 6
Direct
0.0000 0.2500 0.5000 Li
0.0000 0.7500 0.5000 Li
0.2500 0.5000 0.0000 Li
0.5000 0.0000 0.2500 Li
0.5000 0.0000 0.7500 Li
0.7500 0.5000 0.0000 Li
0.0000 0.0000 0.0000 Pm
0.5000 0.5000 0.5000 Pm
0.0000 0.5000 0.2500 Cd
0.0000 0.5000 0.7500 Cd
0.2500 0.0000 0.5000 Cd
0.5000 0.2500 0.0000 Cd
0.5000 0.7500 0.0000 Cd
0.7500 0.0000 0.5000 Cd